No. 1
{
  "formula": "KGeC",
  "functional": "PBE",
  "state": "relaxed",
  "magmom_total_mub_per_fu": 0.0,
  "relative_energy_mev_per_atom": 198.4,
  "space_group": "Amm2 (38)",
  "final_energy_ev_per_atom": -4.621,
  "lattice_angstrom": [[4.8979, 0.0000, 0.0000], [0.0000, 3.2788, 0.0000], [0.0000, 0.0000, 17.5695]],
  "species": ["Ge", "Ge", "Ge", "Ge", "K", "K", "K", "K", "C", "C", "C", "C"],
  "frac_coords": [[0.5000, 0.5000, 0.7577], [0.5000, 0.0000, 0.2577], [0.5000, 0.5000, 0.0037], [0.5000, 0.0000, 0.5037], [0.0000, 0.0000, 0.8793], [0.0000, 0.0000, 0.6387], [0.0000, 0.5000, 0.3793], [0.0000, 0.5000, 0.1387], [0.5000, 0.0000, 0.0768], [0.5000, 0.5000, 0.5768], [0.5000, 0.0000, 0.1518], [0.5000, 0.5000, 0.6518]]
}

=====

No. 2
{
  "formula": "K2NbGeC",
  "functional": "PBE",
  "state": "relaxed",
  "magmom_total_mub_per_fu": 2.8,
  "space_group": "P4/mmm (123)",
  "final_energy_ev_per_atom": -3.280,
  "lattice_angstrom": [[6.3718, 0.0000, 0.0000], [0.0000, 5.0103, 0.0000], [0.0000, 0.0000, 6.3718]],
  "species": ["K", "K", "C", "Ge", "Nb"],
  "frac_coords": [[0.0000, 0.0000, 0.5000], [0.5000, 0.0000, 0.0000], [0.5000, 0.5000, 0.5000], [0.0000, 0.0000, 0.0000], [0.0000, 0.5000, 0.0000]]
}

=====

No. 3
{
  "formula": "KNbGe2C",
  "functional": "PBE",
  "state": "relaxed",
  "magmom_total_mub_per_fu": 0.0,
  "space_group": "P4/mmm (123)",
  "final_energy_ev_per_atom": -5.303,
  "lattice_angstrom": [[5.1149, 0.0000, 0.0000], [0.0000, 4.3506, 0.0000], [0.0000, 0.0000, 5.1149]],
  "species": ["Nb", "Ge", "Ge", "K", "C"],
  "frac_coords": [[0.0000, 0.0000, 0.0000], [0.0000, 0.0000, 0.5000], [0.5000, 0.0000, 0.0000], [0.5000, 0.5000, 0.5000], [0.0000, 0.5000, 0.0000]]
}

=====

No. 4
{
  "formula": "KGeCO5",
  "functional": "PBE",
  "state": "relaxed",
  "raw_formation_energy_ev_per_atom": -1.1348,
  "magmom_total_mub_per_fu": 1.0,
  "space_group": "C2/c (15)",
  "final_energy_ev_per_atom": -6.101,
  "lattice_angstrom": [[-2.6987, 3.2391, 3.9492], [-0.2494, -5.3220, 2.2326], [6.3487, 1.7213, 0.4740]],
  "species": ["C", "C", "O", "O", "O", "O", "O", "O", "O", "O", "O", "O", "Ge", "Ge", "K", "K"],
  "frac_coords": [[0.7278, 0.2722, 0.2500], [0.2722, 0.7278, 0.7500], [0.2288, 0.4878, 0.6118], [0.5122, 0.7712, 0.8882], [0.0778, 0.9222, 0.2500], [0.0985, 0.7280, 0.8704], [0.2720, 0.9015, 0.6296], [0.9222, 0.0778, 0.7500], [0.4878, 0.2288, 0.1118], [0.9015, 0.2720, 0.1296], [0.7280, 0.0985, 0.3704], [0.7712, 0.5122, 0.3882], [0.0000, 0.0000, 0.5000], [0.0000, 0.0000, 0.0000], [0.6437, 0.3563, 0.7500], [0.3563, 0.6437, 0.2500]]
}

=====

No. 5
{
  "formula": "K3GePCO7",
  "functional": "PBE",
  "state": "relaxed",
  "raw_formation_energy_ev_per_atom": -1.8735,
  "magmom_total_mub_per_fu": 0.0,
  "space_group": "P2_1/m (11)",
  "final_energy_ev_per_atom": -6.277,
  "lattice_angstrom": [[-4.7330, -5.3532, -0.6868], [4.2831, -4.0377, 1.9549], [-2.1958, 0.7214, 9.5091]],
  "species": ["O", "O", "O", "O", "O", "O", "O", "O", "O", "O", "O", "O", "O", "O", "Ge", "Ge", "K", "K", "K", "K", "K", "K", "C", "C", "P", "P"],
  "frac_coords": [[0.9248, 0.1217, 0.3337], [0.2500, 0.0870, 0.1694], [0.2500, 0.5430, 0.6013], [0.7500, 0.4570, 0.3987], [0.5752, 0.1217, 0.3337], [0.7500, 0.1238, 0.5648], [0.2500, 0.4530, 0.1188], [0.7500, 0.5470, 0.8812], [0.4248, 0.8783, 0.6663], [0.7500, 0.9130, 0.8306], [0.0752, 0.8783, 0.6663], [0.7500, 0.7693, 0.0512], [0.2500, 0.8762, 0.4352], [0.2500, 0.2307, 0.9488], [0.7500, 0.8237, 0.6382], [0.2500, 0.1763, 0.3618], [0.5012, 0.3021, 0.7237], [0.9988, 0.3021, 0.7237], [0.4988, 0.6979, 0.2763], [0.7500, 0.2046, 0.0795], [0.2500, 0.7954, 0.9205], [0.0012, 0.6979, 0.2763], [0.2500, 0.2634, 0.0762], [0.7500, 0.7366, 0.9238], [0.2500, 0.7896, 0.5958], [0.7500, 0.2104, 0.4042]]
}

=====

No. 6
{
  "formula": "KGe2OsC",
  "functional": "PBE",
  "state": "relaxed",
  "magmom_total_mub_per_fu": 1.0,
  "space_group": "P4/mmm (123)",
  "final_energy_ev_per_atom": -2.917,
  "lattice_angstrom": [[5.1241, 0.0000, 0.0000], [0.0000, 4.1268, 0.0000], [0.0000, 0.0000, 5.1241]],
  "species": ["C", "Os", "K", "Ge", "Ge"],
  "frac_coords": [[0.0000, 0.5000, 0.0000], [0.5000, 0.5000, 0.5000], [0.0000, 0.0000, 0.0000], [0.0000, 0.0000, 0.5000], [0.5000, 0.0000, 0.0000]]
}

=====

No. 7
{
  "formula": "KSi2GeC",
  "functional": "PBE",
  "state": "relaxed",
  "raw_formation_energy_ev_per_atom": 1.8274,
  "magmom_total_mub_per_fu": 2.3,
  "space_group": "P4/mmm (123)",
  "final_energy_ev_per_atom": -3.330,
  "lattice_angstrom": [[-0.2723, 1.8407, 4.4017], [-2.2012, -5.8476, 2.3092], [4.5022, -1.3602, 0.8473]],
  "species": ["Si", "Si", "K", "C", "Ge"],
  "frac_coords": [[0.5000, 0.0000, 0.0000], [0.0000, 0.0000, 0.5000], [0.0000, 0.5000, 0.0000], [0.5000, 0.5000, 0.5000], [0.0000, 0.0000, 0.0000]]
}

=====

No. 8
{
  "formula": "KSr2GeC",
  "functional": "PBE",
  "state": "relaxed",
  "magmom_total_mub_per_fu": 0.0,
  "space_group": "P4/mmm (123)",
  "final_energy_ev_per_atom": -3.190,
  "lattice_angstrom": [[-5.1771, -1.9037, 0.7559], [0.9028, -0.6870, 4.4532], [-1.7318, 5.1654, 1.1479]],
  "species": ["C", "Sr", "Sr", "K", "Ge"],
  "frac_coords": [[0.0000, 0.0000, 0.0000], [0.0000, 0.0000, 0.5000], [0.5000, 0.0000, 0.0000], [0.5000, 0.5000, 0.5000], [0.0000, 0.5000, 0.0000]]
}

=====

No. 9
{
  "formula": "KTc2GeC",
  "functional": "PBE",
  "state": "relaxed",
  "magmom_total_mub_per_fu": 7.0,
  "space_group": "P4/mmm (123)",
  "final_energy_ev_per_atom": -4.691,
  "lattice_angstrom": [[4.7448, 0.0000, 0.0000], [0.0000, 6.2736, 0.0000], [0.0000, 0.0000, 4.7448]],
  "species": ["C", "Tc", "Tc", "Ge", "K"],
  "frac_coords": [[0.5000, 0.5000, 0.5000], [0.5000, 0.0000, 0.0000], [0.0000, 0.0000, 0.5000], [0.0000, 0.0000, 0.0000], [0.0000, 0.5000, 0.0000]]
}

=====

No. 10
{
  "formula": "KZrGe2C",
  "functional": "PBE",
  "state": "relaxed",
  "magmom_total_mub_per_fu": 0.0,
  "space_group": "P4/mmm (123)",
  "final_energy_ev_per_atom": -3.426,
  "lattice_angstrom": [[5.1027, 0.0000, 0.0000], [0.0000, 4.2989, 0.0000], [0.0000, 0.0000, 5.1027]],
  "species": ["K", "Ge", "Ge", "Zr", "C"],
  "frac_coords": [[0.0000, 0.0000, 0.0000], [0.0000, 0.0000, 0.5000], [0.5000, 0.0000, 0.0000], [0.5000, 0.5000, 0.5000], [0.0000, 0.5000, 0.0000]]
}

=====

No. 11
{
  "formula": "La6Ge2C",
  "functional": "PBE",
  "state": "relaxed",
  "magmom_total_mub_per_fu": 0.0,
  "relative_energy_mev_per_atom": 0.0,
  "space_group": "P2_1/c (14)",
  "final_energy_ev_per_atom": -5.804,
  "lattice_angstrom": [[-0.6836, -6.3353, 1.6011], [7.8621, -0.1700, 2.6842], [-3.0412, 2.1786, 9.0460]],
  "species": ["La", "La", "La", "La", "La", "La", "La", "La", "La", "La", "La", "La", "Ge", "Ge", "Ge", "Ge", "C", "C"],
  "frac_coords": [[0.3650, 0.7906, 0.9477], [0.1652, 0.3440, 0.9482], [0.1350, 0.2906, 0.5523], [0.1141, 0.0359, 0.2472], [0.6350, 0.2094, 0.0523], [0.6141, 0.4641, 0.7472], [0.3348, 0.8440, 0.5518], [0.8859, 0.9641, 0.7528], [0.8650, 0.7094, 0.4477], [0.8348, 0.6560, 0.0518], [0.6652, 0.1560, 0.4482], [0.3859, 0.5359, 0.2528], [0.4306, 0.1127, 0.7601], [0.5694, 0.8873, 0.2399], [0.9306, 0.3873, 0.2601], [0.0694, 0.6127, 0.7399], [0.0000, 0.0000, 0.5000], [0.5000, 0.5000, 0.0000]]
}

=====

No. 12
{
  "formula": "La2GeC",
  "functional": "PBE",
  "state": "relaxed",
  "magmom_total_mub_per_fu": 0.0,
  "space_group": "Fm-3m (225)",
  "final_energy_ev_per_atom": -5.655,
  "lattice_angstrom": [[0.3826, -4.0028, -3.0460], [-4.0822, -1.7472, -2.3937], [-0.4372, 0.5785, -4.9921]],
  "species": ["Ge", "La", "La", "C"],
  "frac_coords": [[0.5000, 0.5000, 0.5000], [0.2500, 0.2500, 0.2500], [0.7500, 0.7500, 0.7500], [0.0000, 0.0000, 0.0000]]
}